(1)
The following is a PBE-GGA calculation of a relaxed Ba11Sr4 crystal, from Alexandria.

The formation energy comes out at 46 meV/atom. The density of states at the Fermi level is 1.17 states/eV per atom.

It has space group P4_2/mnm (No. 136), with a = 15.259 Å, b = 15.259 Å, c = 7.999 Å, α = 90.00°, β = 90.00° and γ = 90.00°. The distinct sites, in fractional coordinates, are Ba at (0.000, 0.000, 0.000), Ba at (0.063, 0.264, 0.000), Ba at (0.104, 0.104, 0.500), Ba at (0.185, 0.815, 0.251) and Sr at (0.034, 0.371, 0.500).

=====

(2)
The following is a PBE-GGA calculation of a relaxed Ba2Sr5 crystal, from Alexandria.

The calculation puts the energy above the lowest structure with this stoichiometry at 0.000 eV per atom. The formation energy comes out at 7 meV/atom. The density of states at the Fermi level is 1.14 states/eV per atom.

It has space group C2/m (No. 12), with a = 13.669 Å, b = 6.113 Å, c = 9.690 Å, α = 90.00°, β = 98.36° and γ = 90.00°. The distinct sites, in fractional coordinates, are Ba at (0.073, 0.000, 0.217), Sr at (0.000, 0.500, 0.500), Sr at (0.144, 0.500, 0.929) and Sr at (0.213, 0.000, 0.643).

=====

(3)
The following is a PBE-GGA calculation of a relaxed Ba3Sr crystal, from Alexandria.

The calculation puts the energy above the lowest structure with this stoichiometry at 0.024 eV per atom. The formation energy comes out at 23 meV/atom. The density of states at the Fermi level is 1.76 states/eV per atom.

It has space group R-3m (No. 166, hexagonal axes), with a = 4.4186 Å, b = 4.4186 Å, c = 43.6270 Å, α = 90.00°, β = 90.00° and γ = 120.00°. The distinct sites, in fractional coordinates, are Ba at (0.0000, 0.0000, 0.0000), Ba at (0.0000, 0.0000, 0.2480) and Sr at (0.0000, 0.0000, 0.5000).

=====

| no. | DFT total energy (eV for the cell shown) | M_tot (Bohr magnetons per cell) |
| --- | --- | --- |
| 1 | -54.38 | 0.00 |
| 2 | -24.41 | 0.00 |
| 3 | -22.07 | 0.00 |